No. 1
This record from the Alexandria database describes an optimized crystal structure of DyCu2Cl8. The functional is PBE.

a b c (Å): 7.5489 7.5489 7.5489
angles (deg): 127.45 127.45 77.52
Last column: nearest neighbours and their distance in Å.
Element x y z (fractional)
Dy: 0.0000 0.0000 0.0000  8 Cl 2.79
Cu: 0.2500 0.7500 0.5000  4 Cl 2.25
Cu: 0.7500 0.2500 0.5000  4 Cl 2.25
Cl: 0.0483 0.5605 0.8444  1 Cu 2.25
Cl: 0.2039 0.0483 0.4877  1 Cu 2.25
Cl: 0.2839 0.4395 0.4877  1 Cu 2.25
Cl: 0.4395 0.9517 0.1556  1 Cu 2.25
Cl: 0.5605 0.7161 0.5123  1 Cu 2.25
Cl: 0.7161 0.2039 0.1556  1 Cu 2.25
Cl: 0.7961 0.2839 0.8444  1 Cu 2.25
Cl: 0.9517 0.7961 0.5123  1 Cu 2.25

Properties
ΔE_f (raw): -1.0012 eV per atom
Total energy: -3.507 eV per atom
Spin magnetization: 0.0 μB/f.u.

No. 2
This record from the Alexandria database describes an optimized crystal structure of KY3Cu. The functional is PBE.

a b c (Å): 5.5664 5.5664 5.5664
angles (deg): 90.00 90.00 90.00
Last column: nearest neighbours and their distance in Å.
Element x y z (fractional)
K: 0.0000 0.0000 0.0000  12 Y 3.94
Y: 0.0000 0.5000 0.5000  2 Cu 2.78
Y: 0.5000 0.0000 0.5000  2 Cu 2.78
Y: 0.5000 0.5000 0.0000  2 Cu 2.78
Cu: 0.5000 0.5000 0.5000  6 Y 2.78

Properties
Energy of formation: 0.2899 eV/atom
Total energy: -4.627 eV per atom
E above lowest polymorph: 0.00 eV/f.u.
Spin magnetization: 0.0 μB/f.u.

No. 3
This record from the Alexandria database describes an optimized crystal structure of NaPr2Ge4Pt3. The functional is PBE.

a b c (Å): 4.4011 4.4011 10.4670
angles (deg): 90.00 90.00 90.00
Last column: nearest neighbours and their distance in Å.
Element x y z (fractional)
Na: 0.0000 0.0000 0.0000  4 Ge 2.68
Pr: 0.0000 0.5000 0.7438  8 Ge 3.32-3.37, 6 Pt 3.38-3.47, 2 Na 3.47
Pr: 0.5000 0.0000 0.2562  8 Ge 3.32-3.37, 6 Pt 3.38-3.47, 2 Na 3.47
Ge: 0.0000 0.0000 0.5000  4 Pt 2.53
Ge: 0.0000 0.5000 0.1454  3 Pt 2.47-2.68, 2 Na 2.68
Ge: 0.5000 0.0000 0.8546  3 Pt 2.47-2.68, 2 Na 2.68
Ge: 0.5000 0.5000 0.5000  4 Pt 2.53
Pt: 0.0000 0.5000 0.3814  5 Ge 2.47-2.53
Pt: 0.5000 0.0000 0.6186  5 Ge 2.47-2.53
Pt: 0.5000 0.5000 0.0000  4 Ge 2.68

Properties
Energy of formation: -0.7483 eV/atom
Total energy: -5.495 eV per atom
Spin magnetization: 0.0 μB/f.u.

No. 4
This record from the Alexandria database describes an optimized crystal structure of VCrPbAuBr. The functional is PBE.

a b c (Å): 3.2950 3.2950 9.9873
angles (deg): 98.84 98.84 87.60
Last column: nearest neighbours and their distance in Å.
Element x y z (fractional)
V: 0.0000 0.0000 0.0000  4 Cr 2.51-2.81, 3 Br 2.54-2.80, 1 Au 2.78
Cr: 0.4807 0.4807 0.8777  4 V 2.51-2.81, 2 Au 2.78, 1 Br 2.79
Pb: 0.3130 0.3130 0.5081  4 Au 3.05-3.12, 4 Pb 3.30
Au: 0.9065 0.9065 0.7152  4 Cr 2.78-2.86, 1 V 2.78, 2 Pb 3.05
Br: 0.6541 0.6541 0.1623  3 V 2.54-2.80, 1 Cr 2.79

Properties
ΔE_f (raw): 0.0541 eV per atom
Total energy: -5.426 eV per atom
E above lowest polymorph: 0.12 eV/f.u.
Spin magnetization: 0.3 μB/f.u.

No. 5
This record from the Alexandria database describes an optimized crystal structure of Al3FeSi. The functional is PBE.

a b c (Å): 4.7081 4.7081 4.7081
angles (deg): 90.00 90.00 90.00
Last column: nearest neighbours and their distance in Å.
Element x y z (fractional)
Al: 0.0000 0.0000 0.5000  2 Si 2.35
Al: 0.0000 0.5000 0.0000  2 Si 2.35
Al: 0.5000 0.0000 0.0000  2 Si 2.35
Fe: 0.5000 0.5000 0.5000  12 Al 3.33
Si: 0.0000 0.0000 0.0000  6 Al 2.35

Properties
ΔE_f (raw): 0.9714 eV per atom
Total energy: -4.051 eV per atom
E above lowest polymorph: 3.00 eV/f.u.
Spin magnetization: 3.0 μB/f.u.

No. 6
This record from the Alexandria database describes an optimized crystal structure of BaZrNi3. The functional is PBE.

a b c (Å): 4.8919 4.8919 4.8919
angles (deg): 90.00 90.00 90.00
Last column: nearest neighbours and their distance in Å.
Element x y z (fractional)
Ba: 0.0000 0.0000 0.0000  12 Ni 3.46
Zr: 0.5000 0.5000 0.5000  6 Ni 2.45
Ni: 0.0000 0.5000 0.5000  2 Zr 2.45
Ni: 0.5000 0.0000 0.5000  2 Zr 2.45
Ni: 0.5000 0.5000 0.0000  2 Zr 2.45

Properties
Energy of formation: 0.4661 eV/atom
Total energy: -5.097 eV per atom
E above lowest polymorph: 0.00 eV/f.u.
Spin magnetization: 0.0 μB/f.u.

No. 7
This record from the Alexandria database describes an optimized crystal structure of Cr2GaHPd. The functional is PBE.

a b c (Å): 3.6064 3.6064 4.2633
angles (deg): 90.00 90.00 90.00
Last column: nearest neighbours and their distance in Å.
Element x y z (fractional)
Cr: 0.0000 0.5000 0.0000  2 H 1.80
Cr: 0.5000 0.0000 0.0000  2 H 1.80
Ga: 0.0000 0.0000 0.5000  4 Pd 2.55, 8 Cr 2.79
H: 0.5000 0.5000 0.0000  4 Cr 1.80
Pd: 0.5000 0.5000 0.5000  2 H 2.13

Properties
Total energy: -6.166 eV per atom
Spin magnetization: 0.4 μB/f.u.

No. 8
This record from the Alexandria database describes an optimized crystal structure of SrLi2Tb2Pb2. The functional is PBE.

a b c (Å): 9.9309 9.9309 9.9309
angles (deg): 28.76 28.76 28.76
Last column: nearest neighbours and their distance in Å.
Element x y z (fractional)
Sr: 0.0000 0.0000 0.0000  6 Pb 3.64, 2 Tb 3.76, 6 Li 3.76
Li: 0.4194 0.4194 0.4194  3 Pb 2.85, 3 Tb 3.13
Li: 0.5806 0.5806 0.5806  3 Pb 2.85, 3 Tb 3.13
Tb: 0.1318 0.1318 0.1318  3 Li 3.13, 4 Pb 3.21-3.48, 3 Tb 3.48
Tb: 0.8682 0.8682 0.8682  3 Li 3.13, 4 Pb 3.21-3.48, 3 Tb 3.48
Pb: 0.2538 0.2538 0.2538  3 Li 2.85
Pb: 0.7462 0.7462 0.7462  3 Li 2.85

Properties
Energy of formation: -0.3629 eV/atom
Total energy: -3.532 eV per atom
Spin magnetization: 0.0 μB/f.u.